Ac3Zn9Sn2 after structural relaxation, computed with GGA-PBE.

## Properties
Uncorrected energy   -36.172 eV per cell
ΔE_f   -313 meV/atom
ρ   7.84 Mg/m³
Fermi-level density of states   8.9 states/eV/cell
SG   Immm, No. 71
Magnetic moment   0.0 μB per formula unit

Unit cell a=4.599 b=8.839 c=8.839 alpha=69.40 beta=74.92 gamma=74.92
Sites, in units of the cell vectors:
Ac 0.000 0.000 0.000
Ac 0.692 0.308 0.308
Ac 0.308 0.692 0.692
Zn 0.000 0.500 0.500
Zn 0.665 0.965 0.706
Zn 0.335 0.035 0.294
Zn 0.665 0.706 0.965
Zn 0.335 0.294 0.035
Zn 0.847 0.888 0.418
Zn 0.153 0.112 0.582
Zn 0.847 0.418 0.888
Zn 0.153 0.582 0.112
Sn 0.500 0.286 0.714
Sn 0.500 0.714 0.286



HfTiBe2 after structural relaxation, computed with GGA-PBE.

## Properties
Uncorrected energy   -25.724 eV per cell
ΔE_f   -106 meV/atom
Relative energy among the computed polymorphs   0.0063 eV per atom
ρ   7.28 Mg/m³
Fermi-level density of states   0.9 states/eV/cell
SG   Fm-3m, No. 225
Magnetic moment   0.0 μB per formula unit

Unit cell a=4.287 b=4.287 c=4.287 alpha=60.00 beta=60.00 gamma=60.00
Sites, in units of the cell vectors:
Be 0.250 0.250 0.250
Be 0.750 0.750 0.750
Hf 0.500 0.500 0.500
Ti 0.000 0.000 0.000



BaAl4Au4 after structural relaxation, computed with GGA-PBE.

## Properties
Uncorrected energy   -70.525 eV per cell
ΔE_f   -584 meV/atom
Relative energy among the computed polymorphs   0.0000 eV per atom
ρ   8.81 Mg/m³
Fermi-level density of states   3.0 states/eV/cell
SG   I4/m, No. 87
Magnetic moment   0.0 μB per formula unit

Unit cell a=4.817 b=8.991 c=8.991 alpha=90.00 beta=90.00 gamma=90.00
Sites, in units of the cell vectors:
Ba 0.000 0.000 0.000
Ba 0.500 0.500 0.500
Al 0.500 0.387 0.892
Al 0.000 0.608 0.887
Al 0.500 0.613 0.108
Al 0.000 0.113 0.608
Al 0.500 0.892 0.613
Al 0.000 0.887 0.392
Al 0.000 0.392 0.113
Al 0.500 0.108 0.387
Au 0.500 0.832 0.304
Au 0.500 0.168 0.696
Au 0.000 0.804 0.668
Au 0.000 0.332 0.804
Au 0.000 0.668 0.196
Au 0.500 0.304 0.168
Au 0.500 0.696 0.832
Au 0.000 0.196 0.332



NaV2Co after structural relaxation, computed with GGA-PBE.

## Properties
Uncorrected energy   -23.227 eV per cell
ΔE_f   859 meV/atom
Relative energy among the computed polymorphs   0.0000 eV per atom
ρ   5.46 Mg/m³
Fermi-level density of states   5.9 states/eV/cell
SG   Fm-3m, No. 225
Magnetic moment   2.0 μB per formula unit

Unit cell a=4.291 b=4.291 c=4.291 alpha=60.00 beta=60.00 gamma=60.00
Last column: magnetic moment on the atom in μB.
Sites, in units of the cell vectors:
Na 0.000 0.000 0.000  0.00
Co 0.500 0.500 0.500  0.65
V 0.250 0.250 0.250  0.60
V 0.750 0.750 0.750  0.60



Pr7Dy2Y2 after structural relaxation, computed with GGA-PBE.

## Properties
Uncorrected energy   -54.139 eV per cell
ΔE_f   132 meV/atom
Relative energy among the computed polymorphs   0.0000 eV per atom
ρ   6.40 Mg/m³
Fermi-level density of states   15.5 states/eV/cell
SG   C2/m, No. 12
Magnetic moment   0.0 μB per formula unit

Unit cell a=6.180 b=8.207 c=8.207 alpha=89.95 beta=74.70 gamma=74.70
Sites, in units of the cell vectors:
Pr 0.180 0.049 0.587
Pr 0.820 0.413 0.951
Pr 0.820 0.951 0.413
Pr 0.180 0.587 0.049
Pr 0.000 0.000 0.000
Pr 0.801 0.425 0.425
Pr 0.199 0.575 0.575
Dy 0.589 0.770 0.770
Dy 0.411 0.230 0.230
Y 0.500 0.787 0.213
Y 0.500 0.213 0.787



CsTl2GaSb after structural relaxation, computed with GGA-PBE.

## Properties
Uncorrected energy   -12.733 eV per cell
E_form (uncorrected)   0.00 eV/atom
ρ   6.43 Mg/m³
Fermi-level density of states   2.5 states/eV/cell
SG   P4/mmm, No. 123
Magnetic moment   0.0 μB per formula unit

Unit cell a=5.839 b=5.839 c=5.554 alpha=90.00 beta=90.00 gamma=90.00
Sites, in units of the cell vectors:
Cs 0.500 0.500 0.500
Sb 0.000 0.000 0.500
Tl 0.000 0.500 0.000
Tl 0.500 0.000 0.000
Ga 0.000 0.000 0.000